Computed, not measured: an optimized crystal structure of Tb6GaSn2 at the GGA-PBE level of DFT.

Volume   28.64 A^3/atom
ρ   8.121 g/cm³
Calculated formation energy   -0.531 eV per atom

abc: 4.3294 8.2922 8.2918
angles: 120.00 90.00 90.00
Fractional positions:
1 Sn 0.0000 0.3333 0.6666
2 Sn 0.0000 0.6667 0.3334
3 Ga 0.5000 0.0001 0.0000
4 Tb 0.5000 0.0000 0.5946
5 Tb 0.0000 0.7522 0.7522
6 Tb 0.0000 0.0000 0.2478
7 Tb 0.5000 0.5946 0.0000
8 Tb 0.0000 0.2479 0.0000
9 Tb 0.5000 0.4054 0.4054


Computed, not measured: an optimized crystal structure of LiCdInAg2 at the GGA-PBE level of DFT.

Volume   19.20 A^3/atom
ρ   7.783 g/cm³
Calculated formation energy   -0.129 eV per atom

abc: 4.3323 6.8227 6.5016
angles: 92.62 90.00 90.00
Fractional positions:
1 In 0.2500 0.9427 0.8269
2 In 0.7500 0.0573 0.1731
3 Ag 0.7500 0.6576 0.9474
4 Ag 0.2500 0.3424 0.0526
5 Ag 0.7500 0.8302 0.5437
6 Ag 0.2500 0.1698 0.4563
7 Li 0.2500 0.5483 0.6648
8 Li 0.7500 0.4517 0.3352
9 Cd 0.2500 0.7230 0.2613
10 Cd 0.7500 0.2770 0.7387


Computed, not measured: an optimized crystal structure of YPu2ThAs4 at the GGA-PBE level of DFT.

Volume   25.70 A^3/atom
ρ   8.952 g/cm³
Calculated formation energy   -1.271 eV per atom

abc: 4.1886 7.2369 7.2012
angles: 109.60 90.00 90.00
Fractional positions:
1 As 0.0000 0.2445 0.7447
2 As 0.0000 0.7555 0.2553
3 As 0.5000 0.7519 0.7465
4 As 0.5000 0.2481 0.2535
5 Pu 0.0000 0.5000 0.5000
6 Pu 0.5000 0.0000 0.5000
7 Th 0.5000 0.5000 0.0000
8 Y 0.0000 0.0000 0.0000


Computed, not measured: an optimized crystal structure of Pm3MgNi at the GGA-PBE level of DFT.

Volume   31.31 A^3/atom
ΔE to the lowest computed polymorph   0.68 eV/f.u.
ρ   5.494 g/cm³
Calculated formation energy   -0.001 eV per atom

abc: 5.3895 5.3895 5.3895
angles: 90.00 90.00 90.00
Fractional positions:
1 Pm 0.0000 0.0000 0.5000
2 Pm 0.5000 0.0000 0.0000
3 Pm 0.0000 0.5000 0.0000
4 Ni 0.0000 0.0000 0.0000
5 Mg 0.5000 0.5000 0.5000


Computed, not measured: an optimized crystal structure of TiMn3 at the GGA-PBE level of DFT.

Volume   12.46 A^3/atom
ρ   7.087 g/cm³
Calculated formation energy   -0.110 eV per atom

abc: 4.6933 4.6933 8.2853
angles: 90.05 106.46 119.90
Fractional positions:
1 Mn 0.3364 0.4098 0.7462
2 Mn 0.3362 0.9260 0.7462
3 Mn 0.1798 0.5900 0.2538
4 Mn 0.3254 0.6635 0.9888
5 Mn 0.8202 0.4100 0.7462
6 Mn 0.6746 0.3365 0.0112
7 Mn 0.6636 0.5902 0.2538
8 Mn 0.0000 0.5000 0.5000
9 Mn 0.6638 0.0740 0.2538
10 Ti 0.0000 0.0000 0.0000
11 Ti 0.2852 0.1428 0.4280
12 Ti 0.7148 0.8572 0.5720


Computed, not measured: an optimized crystal structure of La3CCl2 at the GGA-PBE level of DFT.

Volume   23.99 A^3/atom
Formation energy without anion corrections   -6.94 eV/f.u.
ΔE to the lowest computed polymorph   0.44 eV/f.u.
ρ   5.764 g/cm³

abc: 6.7753 7.0657 7.0657
angles: 115.99 99.83 99.83
Fractional positions:
1 La 0.5030 0.3776 0.2295
2 La 0.9970 0.7705 0.6224
3 La 0.5000 0.0000 0.5000
4 La 0.0030 0.2295 0.3776
5 La 0.0000 0.5000 0.0000
6 La 0.4970 0.6224 0.7705
7 Cl 0.7500 0.0753 0.9247
8 Cl 0.2500 0.2354 0.7646
9 Cl 0.2500 0.9247 0.0753
10 Cl 0.7500 0.7646 0.2354
11 C 0.7500 0.4136 0.5864
12 C 0.2500 0.5864 0.4136


Computed, not measured: an optimized crystal structure of TbHo4S4 at the GGA-PBE level of DFT.

Volume   22.64 A^3/atom
Formation energy without anion corrections   -15.77 eV/f.u.
ρ   7.717 g/cm³

abc: 5.4647 6.6875 6.6914
angles: 80.39 65.90 65.88
Fractional positions:
1 S 0.3032 0.7953 0.5982
2 S 0.6968 0.2047 0.4018
3 S 0.9013 0.4020 0.7955
4 S 0.0987 0.5980 0.2045
5 Ho 0.1982 0.1977 0.4059
6 Ho 0.8018 0.8023 0.5941
7 Ho 0.3959 0.4057 0.8024
8 Ho 0.6041 0.5943 0.1976
9 Tb 0.0000 0.0000 0.0000


Computed, not measured: an optimized crystal structure of Mg2Cd4Ga at the GGA-PBE level of DFT.

Volume   24.79 A^3/atom
ρ   5.435 g/cm³
Calculated formation energy   0.122 eV per atom

abc: 5.4470 5.4470 7.0028
angles: 112.89 112.89 90.00
Fractional positions:
1 Cd 0.0000 0.5000 0.0000
2 Cd 0.2500 0.7500 0.5000
3 Cd 0.5000 0.0000 0.0000
4 Cd 0.7500 0.2500 0.5000
5 Ga 0.0000 0.0000 0.0000
6 Mg 0.3627 0.3627 0.7253
7 Mg 0.6373 0.6373 0.2747